Record 1
Here is crystalline In7Sn2Bi2 at its relaxed geometry from Alexandria. Energies are from PBE-GGA.

Properties
Energy relative to the elements (eV per atom): 0.12
Volume (Å³/cell): 361.9
Crystal system: orthorhombic
Total magnetization (μB per formula unit): 0.00
E_tot (eV for the cell shown): -33.667

Geometry as POSCAR:
```
In7Sn2Bi2
1.0
4.3838 -5.5068 0.0000
4.3838 5.5068 0.0000
0.0000 0.0000 7.4956
In Sn Bi
7 2 2
Direct
0.0000 0.0000 0.0000
0.0000 0.5000 0.2934
0.0000 0.5000 0.7066
0.5000 0.0000 0.2934
0.5000 0.0000 0.7066
0.5000 0.5000 0.2898
0.5000 0.5000 0.7102
0.1747 0.1747 0.5000
0.8253 0.8253 0.5000
0.2928 0.7072 0.0000
0.7072 0.2928 0.0000
```


Record 2
Here is crystalline Ac3Tl2Au6 at its relaxed geometry from Alexandria. Energies are from PBE-GGA.

Properties
Energy relative to the elements (eV per atom): -0.41
Volume (Å³/cell): 308.6
Crystal system: tetragonal
Total magnetization (μB per formula unit): 0.00
E_tot (eV for the cell shown): -41.269

Geometry as POSCAR:
```
Ac3Tl2Au6
1.0
-2.0457 2.0457 18.4335
2.0457 -2.0457 18.4335
2.0457 2.0457 -18.4335
Ac Tl Au
3 2 6
Direct
0.0000 0.0000 0.0000
0.1874 0.1874 0.0000
0.8126 0.8126 0.0000
0.3719 0.3719 0.0000
0.6281 0.6281 0.0000
0.0670 0.5670 0.5000
0.2744 0.2744 0.0000
0.4330 0.9330 0.5000
0.5670 0.0670 0.5000
0.7256 0.7256 0.0000
0.9330 0.4330 0.5000
```


Record 3
Here is crystalline PbSe2O at its relaxed geometry from Alexandria. Energies are from PBE-GGA.

Properties
Volume (Å³/cell): 79.5
Crystal system: cubic
Offset from the most stable computed form (meV per atom): 555
Total magnetization (μB per formula unit): 0.00
E_tot (eV for the cell shown): -13.427

Geometry as POSCAR:
```
PbSe2O
1.0
0.0000 3.4125 3.4125
3.4125 0.0000 3.4125
3.4125 3.4125 0.0000
Pb Se O
1 2 1
Direct
0.0000 0.0000 0.0000
0.2500 0.2500 0.2500
0.7500 0.7500 0.7500
0.5000 0.5000 0.5000
```


Record 4
Here is crystalline BaReSe2 at its relaxed geometry from Alexandria. Energies are from PBE-GGA.

Properties
Volume (Å³/cell): 101.8
Crystal system: tetragonal
Offset from the most stable computed form (meV per atom): 573
Total magnetization (μB per formula unit): 0.00
E_tot (eV for the cell shown): -21.057

Geometry as POSCAR:
```
BaReSe2
1.0
3.3018 0.0000 0.0000
0.0000 3.3018 0.0000
0.0000 0.0000 9.3385
Ba Re Se
1 1 2
Direct
0.0000 0.0000 0.0000
0.5000 0.5000 0.2790
0.0000 0.0000 0.3914
0.5000 0.5000 0.7480
```


Record 5
Here is crystalline Cs2Ca3TmF12 at its relaxed geometry from Alexandria. Energies are from PBE-GGA.

Properties
Volume (Å³/cell): 391.2
Crystal system: trigonal
Total magnetization (μB per formula unit): 1.30
E_tot (eV for the cell shown): -97.077

Geometry as POSCAR:
```
Cs2Ca3TmF12
1.0
4.0809 2.3561 6.7806
-4.0809 2.3561 6.7806
0.0000 -4.7123 6.7806
Cs Ca Tm F
2 3 1 12
Direct
0.1142 0.1142 0.1142
0.8858 0.8858 0.8858
0.0000 0.5000 0.5000
0.5000 0.0000 0.5000
0.5000 0.5000 0.0000
0.5000 0.5000 0.5000
0.1658 0.1658 0.5813
0.1658 0.5813 0.1658
0.1910 0.5648 0.5648
0.4187 0.8342 0.8342
0.4352 0.4352 0.8090
0.4352 0.8090 0.4352
0.5648 0.1910 0.5648
0.5648 0.5648 0.1910
0.5813 0.1658 0.1658
0.8090 0.4352 0.4352
0.8342 0.4187 0.8342
0.8342 0.8342 0.4187
```


Record 6
Here is crystalline Ta2CrRh at its relaxed geometry from Alexandria. Energies are from PBE-GGA.

Properties
Energy relative to the elements (eV per atom): -0.28
Volume (Å³/cell): 62.0
Crystal system: tetragonal
Total magnetization (μB per formula unit): 0.00
E_tot (eV for the cell shown): -41.790

Geometry as POSCAR:
```
Ta2CrRh
1.0
3.1355 0.0000 0.0000
0.0000 3.1355 0.0000
0.0000 0.0000 6.3059
Ta Cr Rh
2 1 1
Direct
0.0000 0.0000 0.2348
0.0000 0.0000 0.7652
0.5000 0.5000 0.0000
0.5000 0.5000 0.5000
```